This record from Alexandria via LeMat-Bulk describes Ag at its PBEsol-relaxed geometry. The functional is meta-GGA SCAN.

Summary:
SG: Im-3m, No. 229
Offset from the most stable computed form, eV/atom: 0.041
Formation enthalpy at 0 K, kJ per mole of atoms: 3.98
Calculated volume, Å³/cell: 17

abc: 2.7874 2.7874 2.7874
angles: 109.47 109.47 109.47
Atoms (fractional coordinates):
1 Ag 0.0000 0.0000 0.0000